First-principles (PBE) data for a relaxed structure of MgNb2O6, as listed in the Alexandria database.

Cell lengths 5.3018, 4.8825, 10.0815 Å; angles 90.00, 119.91, 90.00 degrees
Fractional positions:
Mg  0.0000  0.0000  0.0000
Mg  0.0000  0.5000  0.5000
Nb  0.3197  0.0495  0.8139
Nb  0.3197  0.4505  0.3139
Nb  0.6803  0.5495  0.6861
Nb  0.6803  0.9505  0.1861
O  0.0057  0.2274  0.1773
O  0.0057  0.2726  0.6773
O  0.3342  0.1869  0.9972
O  0.3342  0.3131  0.4972
O  0.3533  0.7420  0.6805
O  0.3533  0.7580  0.1805
O  0.6467  0.2420  0.8195
O  0.6467  0.2580  0.3195
O  0.6658  0.6869  0.5028
O  0.6658  0.8131  0.0028
O  0.9943  0.7274  0.3227
O  0.9943  0.7726  0.8227

Results
The calculation puts the spin magnetization at 0.000 μB per formula unit. As for the crystal system: monoclinic. The calculation puts the formation energy (no corrections) at -2.5747 eV/atom. Its space-group type is P2_1/c.

First-principles (PBE) data for a relaxed structure of MgNbP2O, as listed in the Alexandria database.

Cell lengths 4.8184, 4.8184, 3.5509 Å; angles 90.00, 90.00, 90.00 degrees
Fractional positions:
Mg  0.0000  0.0000  0.0000
Nb  0.5000  0.5000  0.5000
P  0.0000  0.5000  0.0000
P  0.5000  0.0000  0.0000
O  0.0000  0.0000  0.5000

Results
The calculation puts the spin magnetization at 0.002 μB per formula unit. The value obtained for the distance to the lowest polymorph of the same formula is 4.354 eV/f.u. As for the crystal system: tetragonal. The calculation puts the formation energy (no corrections) at 0.2813 eV/atom. Its space-group type is P4/mmm.

First-principles (PBE) data for a relaxed structure of MgNbPO2, as listed in the Alexandria database.

Cell lengths 3.9231, 3.9231, 5.2577 Å; angles 90.00, 90.00, 90.00 degrees
Fractional positions:
Mg  0.0000  0.0000  0.0000
Nb  0.5000  0.5000  0.5000
P  0.5000  0.5000  0.0000
O  0.0000  0.5000  0.5000
O  0.5000  0.0000  0.5000

Results
The calculation puts the spin magnetization at 0.000 μB per formula unit. The value obtained for the distance to the lowest polymorph of the same formula is 0.000 eV/f.u. As for the crystal system: tetragonal. The calculation puts the formation energy (no corrections) at -1.5332 eV/atom. Its space-group type is P4/mmm.

First-principles (PBE) data for a relaxed structure of MgNbPO2, as listed in the Alexandria database.

Cell lengths 3.7361, 3.7361, 4.9760 Å; angles 90.00, 90.00, 90.00 degrees
Fractional positions:
Mg  0.0000  0.0000  0.0000
Nb  0.5000  0.5000  0.5000
P  0.0000  0.0000  0.5000
O  0.0000  0.5000  0.0000
O  0.5000  0.0000  0.0000

Results
The calculation puts the spin magnetization at 0.261 μB per formula unit. The value obtained for the distance to the lowest polymorph of the same formula is 5.335 eV/f.u. As for the crystal system: tetragonal. The calculation puts the formation energy (no corrections) at -0.4662 eV/atom. Its space-group type is P4/mmm.